Record 1
The following is a GGA-PBE calculation of a relaxed structure of MnReBi2, from Alexandria.

a b c (Å): 7.5341 7.5341 7.5341
angles (deg): 128.74 128.74 75.43
With the nearest neighbours (Å) after each atom.
Positions (direct):
Mn 0.0000 0.0000 0.0000  4 Bi 2.82
Mn 0.7500 0.2500 0.5000  4 Bi 2.82
Re 0.2500 0.7500 0.5000  4 Bi 2.67
Re 0.5000 0.5000 0.0000  4 Bi 2.67
Bi 0.1443 0.6250 0.0193  2 Re 2.67, 2 Mn 2.82
Bi 0.3750 0.3943 0.5193  2 Re 2.67, 2 Mn 2.82
Bi 0.6057 0.1250 0.9807  2 Re 2.67, 2 Mn 2.82
Bi 0.8750 0.8557 0.4807  2 Re 2.67, 2 Mn 2.82

Values from the calculation:
Calculated formation energy: 5.0 eV per formula unit
Total DFT energy (no corrections): -6.09 eV/atom
Total moment: 4.1 μB per formula unit

Record 2
The following is a GGA-PBE calculation of a relaxed structure of TcNiHg2, from Alexandria.

a b c (Å): 2.9089 2.8753 8.5107
angles (deg): 90.00 99.78 90.00
With the nearest neighbours (Å) after each atom.
Positions (direct):
Tc 0.0000 0.0000 0.0000  4 Ni 2.52
Ni 0.4119 0.5000 0.8239  4 Tc 2.52
Hg 0.6305 0.5000 0.2603  6 Hg 2.88-3.11, 4 Tc 2.99
Hg 0.7942 0.0000 0.5888  4 Ni 2.84, 6 Hg 2.88-3.11

Values from the calculation:
Calculated formation energy: 1.3 eV per formula unit
Total DFT energy (no corrections): -3.86 eV/atom
Total moment: 0.0 μB per formula unit

- Which of these has the highest total moment?
  MnReBi2

Repeat the second record exactly.
The following is a GGA-PBE calculation of a relaxed structure of TcNiHg2, from Alexandria.

a b c (Å): 2.9089 2.8753 8.5107
angles (deg): 90.00 99.78 90.00
With the nearest neighbours (Å) after each atom.
Positions (direct):
Tc 0.0000 0.0000 0.0000  4 Ni 2.52
Ni 0.4119 0.5000 0.8239  4 Tc 2.52
Hg 0.6305 0.5000 0.2603  6 Hg 2.88-3.11, 4 Tc 2.99
Hg 0.7942 0.0000 0.5888  4 Ni 2.84, 6 Hg 2.88-3.11

Values from the calculation:
Calculated formation energy: 1.3 eV per formula unit
Total DFT energy (no corrections): -3.86 eV/atom
Total moment: 0.0 μB per formula unit

- Among the records above, which one has the lowest calculated formation energy?
  TcNiHg2